! Ca3BiP (GGA-PBE, relaxed); values from VASP
&SYSTEM
  ibrav = 0, nat = 20, ntyp = 3
/
ATOMIC_SPECIES
Ca 40.08 Ca.upf
Bi 208.98 Bi.upf
P 30.97 P.upf
CELL_PARAMETERS angstrom
8.362 1.028 5.369
0.496 -3.760 9.243
5.754 -7.954 1.856
ATOMIC_POSITIONS crystal
Ca 0.477 0.023 0.023
Ca 0.773 0.227 0.227
Ca 0.227 0.773 0.773
Bi 0.625 0.625 0.625
Ca 0.477 0.477 0.023
Ca 0.227 0.773 0.227
P 0.625 0.125 0.125
Bi 0.625 0.625 0.125
Ca 0.477 0.023 0.477
Ca 0.227 0.227 0.773
Ca 0.773 0.227 0.773
P 0.125 0.125 0.625
Ca 0.023 0.477 0.477
Bi 0.125 0.625 0.625
Ca 0.023 0.023 0.477
Ca 0.023 0.477 0.023
Bi 0.625 0.125 0.625
Ca 0.773 0.773 0.227
P 0.125 0.625 0.125
P 0.125 0.125 0.125
! DFT total energy (eV/atom): -3.8493
! Total magnetization (μB/f.u.): 0.00
! Space group: Fd-3m (227)
! Distance to the lowest polymorph of the same formula (eV per formula unit): 1.21
! Energy of formation (eV per atom): -0.790

! Ca3BiP (GGA-PBE, relaxed); values from VASP
&SYSTEM
  ibrav = 0, nat = 10, ntyp = 3
/
ATOMIC_SPECIES
Ca 40.08 Ca.upf
P 30.97 P.upf
Bi 208.98 Bi.upf
CELL_PARAMETERS angstrom
7.751 0.000 -1.089
0.000 7.936 0.000
-5.061 0.000 5.973
ATOMIC_POSITIONS crystal
Ca 0.862 0.474 0.138
Ca 0.530 0.250 0.470
P 0.020 0.250 0.981
P 0.980 0.750 0.019
Bi 0.310 0.250 0.689
Ca 0.470 0.750 0.530
Ca 0.862 0.026 0.138
Ca 0.138 0.974 0.862
Ca 0.138 0.526 0.862
Bi 0.690 0.750 0.311
! DFT total energy (eV/atom): -3.9667
! Total magnetization (μB/f.u.): 0.00
! Space group: Cmcm (63)
! Distance to the lowest polymorph of the same formula (eV per formula unit): 0.62
! Energy of formation (eV per atom): -0.908

! Ca3BiP (GGA-PBE, relaxed); values from VASP
&SYSTEM
  ibrav = 0, nat = 20, ntyp = 3
/
ATOMIC_SPECIES
Bi 208.98 Bi.upf
Ca 40.08 Ca.upf
P 30.97 P.upf
CELL_PARAMETERS angstrom
7.803 0.000 0.000
0.000 10.742 0.000
0.000 0.000 7.543
ATOMIC_POSITIONS crystal
Bi 0.058 0.250 0.014
Bi 0.442 0.750 0.514
Ca 0.034 0.750 0.407
Ca 0.966 0.250 0.593
P 0.000 0.000 0.500
Ca 0.199 0.952 0.803
Ca 0.466 0.250 0.907
Ca 0.534 0.750 0.093
Ca 0.301 0.452 0.303
Ca 0.199 0.548 0.803
Ca 0.801 0.452 0.197
P 0.500 0.500 0.000
Ca 0.801 0.048 0.197
Ca 0.699 0.952 0.697
Bi 0.558 0.250 0.486
P 0.000 0.500 0.500
Ca 0.699 0.548 0.697
Bi 0.942 0.750 0.986
P 0.500 0.000 0.000
Ca 0.301 0.048 0.303
! DFT total energy (eV/atom): -4.0908
! Total magnetization (μB/f.u.): 0.00
! Space group: Pnma (62)
! Distance to the lowest polymorph of the same formula (eV per formula unit): 0.00
! Energy of formation (eV per atom): -1.032